This record from the Alexandria database describes a relaxed DyErSc2P4 crystal. The functional is PBE-GGA.

Cell lengths 6.698, 3.879, 6.714 Å; angles 90.00, 109.53, 90.00 degrees
Atoms (fractional coordinates):
Dy  0.000  0.000  0.000
Er  0.000  0.500  0.500
Sc  0.500  0.000  0.500
Sc  0.500  0.500  0.000
P  0.264  0.000  0.753
P  0.264  0.500  0.256
P  0.736  0.000  0.247
P  0.736  0.500  0.744

Output
Fermi-level density of states (states/eV/f.u.): 0.980
Calculated formation energy (kJ per mole of atoms): -148.48
ρ (kg/m³): 5490


This record from the Alexandria database describes a relaxed RbInHgI2 crystal. The functional is PBE-GGA.

Cell lengths 7.091, 7.091, 13.313 Å; angles 91.72, 91.72, 41.31 degrees
Atoms (fractional coordinates):
Rb  0.134  0.134  0.365
Rb  0.866  0.866  0.635
In  0.350  0.350  0.168
In  0.650  0.650  0.832
Hg  0.124  0.124  0.980
Hg  0.876  0.876  0.020
I  0.146  0.146  0.642
I  0.416  0.416  0.830
I  0.584  0.584  0.170
I  0.854  0.854  0.358

Output
Energy above the most stable polymorph in this dataset (eV per atom): 0.000
Fermi-level density of states (states/eV/f.u.): 0.000
ΔE_f (raw) (meV/atom): -738.1
ρ (kg/m³): 4923


This record from the Alexandria database describes a relaxed Rb3PaRh2Se6 crystal. The functional is PBE-GGA.

Cell lengths 6.804, 6.804, 8.339 Å; angles 97.89, 97.89, 120.03 degrees
Atoms (fractional coordinates):
Rb  0.000  0.000  0.000
Rb  0.338  0.662  0.000
Rb  0.662  0.338  0.000
Pa  0.500  0.500  0.500
Rh  0.167  0.833  0.500
Rh  0.833  0.167  0.500
Se  0.082  0.440  0.320
Se  0.201  0.201  0.678
Se  0.440  0.082  0.320
Se  0.560  0.918  0.680
Se  0.799  0.799  0.322
Se  0.918  0.560  0.680

Output
Fermi-level density of states (states/eV/f.u.): 8.538
ΔE_f (raw) (meV/atom): -887.6
ρ (kg/m³): 6030


This record from the Alexandria database describes a relaxed TiPH3 crystal. The functional is PBE-GGA.

Cell lengths 3.483, 3.483, 3.483 Å; angles 90.00, 90.00, 90.00 degrees
Atoms (fractional coordinates):
Ti  0.000  0.000  0.000
P  0.500  0.500  0.500
H  0.000  0.000  0.500
H  0.000  0.500  0.000
H  0.500  0.000  0.000

Output
Energy above the most stable polymorph in this dataset (eV per atom): 0.000
Fermi-level density of states (states/eV/f.u.): 1.265
ρ (kg/m³): 3217